VASP calculation (GGA+U) on PaMn2F8 after structural relaxation.

abc: 4.1841 6.9967 6.9961
angles: 120.01 90.00 90.00
With the nearest neighbours (Å) after each atom.
Atoms (fractional coordinates):
F 0.2602 0.6823 0.8405  1 Mn 2.11, 1 Pa 2.21
F 0.7398 0.8417 0.6822  1 Mn 2.11, 1 Pa 2.21
Pa 0.0000 0.0000 0.0000  6 F 2.21
F 0.7399 0.8406 0.1583  1 Mn 2.11, 1 Pa 2.21
F 0.7712 0.3334 0.6667  2 Mn 2.08-2.10
F 0.2601 0.1594 0.8417  1 Mn 2.11, 1 Pa 2.21
F 0.2288 0.6666 0.3332  2 Mn 2.08-2.10
Mn 0.7262 0.6666 0.3333  5 F 2.08-2.11
F 0.7398 0.3177 0.1595  1 Mn 2.11, 1 Pa 2.21
F 0.2602 0.1583 0.3178  1 Mn 2.11, 1 Pa 2.21
Mn 0.2738 0.3334 0.6667  5 F 2.08-2.11

Properties
Total energy: -6.686 eV per atom
V: 16.12 A^3/atom